Record 1
A plane-wave DFT calculation with PBE-GGA was carried out for an optimized crystal structure of CsBi3Sb.

Cell lengths 6.0376, 6.0376, 6.0376 Å; angles 90.00, 90.00, 90.00 degrees
Fractional positions:
Bi (0.0000, 0.5000, 0.0000)
Bi (0.0000, 0.0000, 0.5000)
Bi (0.5000, 0.0000, 0.0000)
Cs (0.5000, 0.5000, 0.5000)
Sb (0.0000, 0.0000, 0.0000)

Computed properties:
- final energy (Ry per atom) = -0.2252
- ΔE_f (raw) (eV per atom) = 0.259
- M_tot (μB per formula unit) = 0.000
- energy above the lowest structure with this stoichiometry (eV/atom) = 0.000
- DOS(E_F) (states/eV/f.u.) = 6.82

=====

Record 2
A plane-wave DFT calculation with PBE-GGA was carried out for an optimized crystal structure of CsBi2Sb.

Cell lengths 5.5300, 7.3517, 8.4784 Å; angles 90.00, 90.00, 112.09 degrees
Fractional positions:
Bi (0.3879, 0.7758, 0.5698)
Bi (0.6121, 0.2242, 0.0698)
Bi (0.3879, 0.7758, 0.9302)
Bi (0.6121, 0.2242, 0.4302)
Cs (0.8941, 0.7882, 0.2500)
Cs (0.1059, 0.2118, 0.7500)
Sb (0.8235, 0.6471, 0.7500)
Sb (0.1765, 0.3529, 0.2500)

Computed properties:
- final energy (Ry per atom) = -0.2431
- ΔE_f (raw) (eV per atom) = -0.123
- M_tot (μB per formula unit) = 0.000
- DOS(E_F) (states/eV/f.u.) = 1.92

=====

Record 3
A plane-wave DFT calculation with PBE-GGA was carried out for an optimized crystal structure of CsBi2Sb.

Cell lengths 5.4262, 5.4262, 7.5063 Å; angles 68.81, 68.81, 60.00 degrees
Fractional positions:
Bi (0.2020, 0.2020, 0.3941)
Bi (0.7980, 0.7980, 0.6059)
Cs (0.0000, 0.0000, 0.0000)
Sb (0.5000, 0.5000, 0.5000)

Computed properties:
- final energy (Ry per atom) = -0.2416
- ΔE_f (raw) (eV per atom) = -0.102
- M_tot (μB per formula unit) = 0.000
- DOS(E_F) (states/eV/f.u.) = 2.82